Record 1
Crystalline BaBe2Ge2 at its relaxed geometry. Source: the Alexandria database, functional PBE-GGA.

**V**: 18.9 Å³ per atom
**Spin magnetization**: 0.00 μB/f.u.
**Calculated density**: 5285 kg/m³
**DFT formation energy**: -0.85 eV per formula unit
**Uncorrected energy**: -3.89 eV/atom

Lattice parameters (Å, degrees): 4.289 4.289 5.965 68.93 68.93 90.00
Fractional positions:
Be (0.250, 0.750, 0.500)
Be (0.750, 0.250, 0.500)
Ge (0.364, 0.364, 0.273)
Ge (0.636, 0.636, 0.727)
Ba (0.000, 0.000, 0.000)

***

Record 2
Crystalline ZrRu2W at its relaxed geometry. Source: the Alexandria database, functional PBE-GGA.

**V**: 18.0 Å³ per atom
**Spin magnetization**: 0.00 μB/f.u.
**Calculated density**: 11012 kg/m³
**DFT formation energy**: 1.43 eV per formula unit
**Uncorrected energy**: -9.66 eV/atom

Lattice parameters (Å, degrees): 7.118 7.118 5.779 51.99 51.99 90.00
Fractional positions:
Ru (0.659, 0.125, 0.250)
Ru (0.375, 0.341, 0.750)
Ru (0.091, 0.625, 0.250)
Ru (0.875, 0.909, 0.750)
W (0.750, 0.250, 0.500)
W (0.000, 0.000, 0.000)
Zr (0.500, 0.500, 0.000)
Zr (0.250, 0.750, 0.500)

***

Record 3
Crystalline Ac2ZrNi3Pt12 at its relaxed geometry. Source: the Alexandria database, functional PBE-GGA.

**V**: 21.2 Å³ per atom
**Spin magnetization**: 2.97 μB/f.u.
**Calculated density**: 13353 kg/m³
**DFT formation energy**: -2.20 eV per formula unit
**Uncorrected energy**: -6.04 eV/atom

Lattice parameters (Å, degrees): 8.151 8.151 8.151 59.75 59.75 59.75
Fractional positions:
Pt (0.121, 0.635, 0.635)
Pt (0.635, 0.635, 0.121)
Pt (0.130, 0.130, 0.607)
Pt (0.130, 0.607, 0.130)
Pt (0.607, 0.130, 0.130)
Pt (0.393, 0.870, 0.870)
Pt (0.879, 0.365, 0.365)
Pt (0.635, 0.121, 0.635)
Pt (0.365, 0.879, 0.365)
Pt (0.365, 0.365, 0.879)
Pt (0.870, 0.870, 0.393)
Pt (0.870, 0.393, 0.870)
Ni (0.000, 0.500, 0.000)
Ni (0.500, 0.000, 0.000)
Ni (0.000, 0.000, 0.500)
Ac (0.615, 0.615, 0.615)
Ac (0.385, 0.385, 0.385)
Zr (0.000, 0.000, 0.000)

***

Record 4
Crystalline Mn2ZnGa at its relaxed geometry. Source: the Alexandria database, functional PBE-GGA.

**V**: 13.4 Å³ per atom
**Spin magnetization**: 5.37 μB/f.u.
**Calculated density**: 7602 kg/m³
**DFT formation energy**: -0.23 eV per formula unit
**Uncorrected energy**: -5.72 eV/atom

Lattice parameters (Å, degrees): 3.603 3.854 3.854 90.00 90.00 90.00
Fractional positions:
Mn (0.000, 0.500, 0.000)
Mn (0.000, 0.000, 0.500)
Ga (0.500, 0.000, 0.000)
Zn (0.500, 0.500, 0.500)